# 1
The following is a GGA-PBE calculation of an optimized crystal structure of Tb7Nd3Ho, from Alexandria via LeMat-Bulk.

Cell: 5.5646 6.9868 10.0412 Å, 70.51 89.98 89.95°
Space group P-1 (No. 2)
Inequivalent atoms, fractional coordinates:
Tb 0.0000 0.0000 0.0000 [1 per cell]
Tb 0.9998 0.4217 0.1711 [2 per cell]
Tb 0.4998 0.1465 0.7107 [2 per cell]
Tb 0.4998 0.3226 0.3636 [2 per cell]
Nd 0.0000 0.0000 0.5000 [1 per cell]
Nd 0.4997 0.2808 0.0028 [2 per cell]
Ho 0.0000 0.5000 0.5000 [1 per cell]

Summary:
calculated formation energy	0.14	eV per atom
crystal system	triclinic
magnetic moment	0.0	Bohr magnetons per cell
volume	368.0	Å³ per cell
energy above the most stable polymorph in this dataset	0.000	eV/atom



# 2
The following is a GGA-PBE calculation of an optimized crystal structure of Ac2PuMoN4, from Alexandria via LeMat-Bulk.

Cell: 3.5680 12.5867 12.9808 Å, 90.00 90.00 90.00°
Space group Cmcm (No. 63)
Inequivalent atoms, fractional coordinates:
Ac 0.0000 0.1335 0.0373 [8 per cell]
Pu 0.0000 0.3813 0.2500 [4 per cell]
Mo 0.0000 0.3367 0.7500 [4 per cell]
N 0.0000 0.0896 0.2500 [4 per cell]
N 0.0000 0.2209 0.6467 [8 per cell]
N 0.0000 0.5000 0.0000 [4 per cell]

Summary:
ΔE_f (raw)	-652	meV/atom
crystal system	orthorhombic
magnetic moment	23.5	Bohr magnetons per cell
volume	583.0	Å³ per cell



- Which of these has the lowest magnetic moment?
  Tb7Nd3Ho



- volume of number 2 (Ac2PuMoN4)?
  583.0 Å³ per cell



- Which formula does entry 2 have?
  Ac2PuMoN4